(1)
Below is a relaxed structure of K6HgPb2, with properties calculated at the PBE-GGA level.

CIF file:
```
data_K6HgPb2
_symmetry_space_group_name_H-M 'C 1 2/m 1'
_symmetry_Int_Tables_number 12
_symmetry_space_group_name_Hall '-C 2y'
_cell_length_a 11.6297
_cell_length_b 6.2449
_cell_length_c 11.0712
_cell_angle_alpha 90.00
_cell_angle_beta 100.97
_cell_angle_gamma 90.00
loop_
_atom_site_label
_atom_site_type_symbol
_atom_site_fract_x
_atom_site_fract_y
_atom_site_fract_z
K1 K 0.0327 0.0000 0.2256
K2 K 0.1753 0.5000 0.0810
K3 K 0.2078 0.0000 0.5744
Hg1 Hg 0.0000 0.5000 0.5000
Pb1 Pb 0.1405 0.5000 0.7480
```

Summary:
M_tot   0.00 Bohr magnetons per cell
DFT total energy   -1.75 eV per atom
Energy of formation from the pure elements   -1.4 eV per formula unit

=====

(2)
Below is a relaxed structure of MgCrCd2, with properties calculated at the PBE-GGA level.

CIF file:
```
data_MgCrCd2
_symmetry_space_group_name_H-M 'P m m 2'
_symmetry_Int_Tables_number 25
_symmetry_space_group_name_Hall 'P 2 -2'
_cell_length_a 3.1539
_cell_length_b 4.8727
_cell_length_c 5.1381
_cell_angle_alpha 90.00
_cell_angle_beta 90.00
_cell_angle_gamma 90.00
loop_
_atom_site_label
_atom_site_type_symbol
_atom_site_fract_x
_atom_site_fract_y
_atom_site_fract_z
Mg1 Mg 0.0000 0.0000 0.0000
Cr1 Cr 0.0000 0.5000 0.3529
Cd1 Cd 0.5000 0.0000 0.4895
Cd2 Cd 0.5000 0.5000 0.8511
```

Summary:
M_tot   3.86 Bohr magnetons per cell
DFT total energy   -3.07 eV per atom
Energy of formation from the pure elements   0.8 eV per formula unit

=====

(3)
Below is a relaxed structure of SrLiHoSe3, with properties calculated at the PBE-GGA level.

CIF file:
```
data_SrLiHoSe3
_symmetry_space_group_name_H-M 'P 1 21/m 1'
_symmetry_Int_Tables_number 11
_symmetry_space_group_name_Hall '-P 2yb'
_cell_length_a 8.6291
_cell_length_b 4.1550
_cell_length_c 9.0421
_cell_angle_alpha 90.00
_cell_angle_beta 103.73
_cell_angle_gamma 90.00
loop_
_atom_site_label
_atom_site_type_symbol
_atom_site_fract_x
_atom_site_fract_y
_atom_site_fract_z
Sr1 Sr 0.1894 0.2500 0.2377
Li1 Li 0.0855 0.2500 0.5874
Ho1 Ho 0.3299 0.7500 0.8361
Se1 Se 0.1098 0.2500 0.8693
Se2 Se 0.2172 0.7500 0.5142
Se3 Se 0.4400 0.7500 0.1654
```

Summary:
M_tot   0.00 Bohr magnetons per cell
Uncorrected formation energy   -10.7 eV per formula unit
DFT total energy   -4.89 eV per atom

=====

(4)
Below is a relaxed structure of NdGdMgGe, with properties calculated at the PBE-GGA level.

CIF file:
```
data_NdGdMgGe
_symmetry_space_group_name_H-M 'F -4 3 m'
_symmetry_Int_Tables_number 216
_symmetry_space_group_name_Hall 'F -4 2 3'
_cell_length_a 7.4047
_cell_length_b 7.4047
_cell_length_c 7.4047
_cell_angle_alpha 90.00
_cell_angle_beta 90.00
_cell_angle_gamma 90.00
loop_
_atom_site_label
_atom_site_type_symbol
_atom_site_fract_x
_atom_site_fract_y
_atom_site_fract_z
Nd1 Nd 0.0000 0.0000 0.0000
Gd1 Gd 0.0000 0.0000 0.5000
Mg1 Mg 0.2500 0.2500 0.7500
Ge1 Ge 0.2500 0.2500 0.2500
```

Summary:
M_tot   29.44 Bohr magnetons per cell
DFT total energy   -6.64 eV per atom
Energy of formation from the pure elements   -1.5 eV per formula unit